This record from Alexandria via LeMat-Bulk describes AlBrN2F after structural relaxation. The functional is GGA-PBE.

Calculated values
The calculation puts the uncorrected formation energy at 0.181 eV per atom. Its space group is No. 123.

Structure (POSCAR):
```
AlBrN2F
1.0
3.9775 0.0000 0.0000
0.0000 3.9775 0.0000
0.0000 0.0000 3.6181
N Al Br F
2 1 1 1
Direct
0.5000 0.0000 0.0000 N
0.0000 0.5000 0.0000 N
0.0000 0.0000 0.0000 Al
0.5000 0.5000 0.5000 Br
0.0000 0.0000 0.5000 F
```


This record from Alexandria via LeMat-Bulk describes AgSn after structural relaxation. The functional is GGA-PBE.

Calculated values
The calculation puts the calculated total energy at -53.8 eV/cell. Its space group is No. 19.

Structure (POSCAR):
```
AgSn
1.0
-4.6773 -1.8559 -2.5832
-2.1530 -3.1899 6.1902
-4.2779 7.4843 2.3688
Ag Sn
8 8
Direct
0.4322 0.9534 0.6172 Ag
0.0678 0.0466 0.1172 Ag
0.1809 0.4483 0.1026 Ag
0.8191 0.9483 0.3974 Ag
0.9322 0.5466 0.3828 Ag
0.6809 0.0517 0.8974 Ag
0.5678 0.4534 0.8828 Ag
0.3191 0.5517 0.6026 Ag
0.6735 0.2867 0.1787 Sn
0.2540 0.2172 0.3958 Sn
0.7460 0.7172 0.1042 Sn
0.3265 0.7867 0.3213 Sn
0.1735 0.2133 0.8213 Sn
0.2460 0.7828 0.8958 Sn
0.7540 0.2828 0.6042 Sn
0.8265 0.7133 0.6787 Sn
```


This record from Alexandria via LeMat-Bulk describes Pm4Mg3In after structural relaxation. The functional is GGA-PBE.

Calculated values
The calculation puts the calculated total energy at -28.3 eV/cell. Its space group is No. 166.

Structure (POSCAR):
```
Pm4Mg3In
1.0
5.2246 0.0000 1.5422
2.3847 4.6486 1.5422
0.0484 0.0296 9.4568
Pm Mg In
4 3 1
Direct
0.6250 0.6250 0.1251 Pm
0.8751 0.8751 0.3747 Pm
0.1249 0.1249 0.6253 Pm
0.3750 0.3750 0.8749 Pm
0.2482 0.2482 0.2553 Mg
0.5000 0.5000 0.5000 Mg
0.7518 0.7518 0.7447 Mg
0.0000 0.0000 0.0000 In
```


This record from Alexandria via LeMat-Bulk describes GdDyHgRh after structural relaxation. The functional is GGA-PBE.

Calculated values
The calculation puts the calculated total energy at -28.7 eV/cell. Its space group is No. 216.

Structure (POSCAR):
```
GdDyHgRh
1.0
-4.6478 -0.3825 -2.0076
-1.6754 -4.4863 -1.6870
-3.6604 -2.4543 2.5214
Rh Gd Hg Dy
1 1 1 1
Direct
0.5000 0.5000 0.5000 Rh
0.7500 0.7500 0.7500 Gd
0.0000 0.0000 0.0000 Hg
0.2500 0.2500 0.2500 Dy
```


This record from Alexandria via LeMat-Bulk describes NpZnCrIr after structural relaxation. The functional is GGA-PBE.

Calculated values
The calculation puts the calculated total energy at -32.4 eV/cell. Its space group is No. 216.

Structure (POSCAR):
```
NpZnCrIr
1.0
4.5620 0.0000 0.0000
2.2810 3.9508 0.0000
2.2810 1.3169 3.7248
Zn Np Cr Ir
1 1 1 1
Direct
0.7500 0.7500 0.7500 Zn
0.2500 0.2500 0.2500 Np
0.5000 0.5000 0.5000 Cr
0.0000 0.0000 0.0000 Ir
```


This record from Alexandria via LeMat-Bulk describes Sc2IrRh6 after structural relaxation. The functional is GGA-PBE.

Calculated values
The calculation puts the calculated total energy at -68.2 eV/cell. Its space group is No. 65.

Structure (POSCAR):
```
Sc2IrRh6
1.0
-1.5325 2.0694 3.0580
-2.2825 -5.5555 2.6157
6.0099 2.1321 1.5693
Rh Ir Sc
6 1 2
Direct
0.5000 0.2902 0.0000 Rh
0.5000 0.7098 0.0000 Rh
0.0000 0.4585 0.2961 Rh
0.0000 0.8376 0.2961 Rh
0.0000 0.1624 0.7039 Rh
0.0000 0.5415 0.7039 Rh
0.0000 0.0000 0.0000 Ir
0.5000 0.8139 0.6279 Sc
0.5000 0.1861 0.3721 Sc
```


This record from Alexandria via LeMat-Bulk describes ThMg3Au2 after structural relaxation. The functional is GGA-PBE.

Calculated values
The calculation puts the calculated total energy at -42.8 eV/cell. Its space group is No. 12.

Structure (POSCAR):
```
ThMg3Au2
1.0
-0.1495 1.3477 4.2670
2.9153 -8.0082 0.2826
5.4921 6.0624 -1.7223
Mg Th Au
6 2 4
Direct
0.9468 0.8936 0.6116 Mg
0.3102 0.6204 0.5459 Mg
0.6066 0.2133 0.7032 Mg
0.6898 0.3796 0.4541 Mg
0.0532 0.1064 0.3884 Mg
0.3934 0.7867 0.2968 Mg
0.1418 0.2835 0.0528 Th
0.8582 0.7165 0.9472 Th
0.7873 0.5746 0.2556 Au
0.5158 0.0316 0.1761 Au
0.4842 0.9684 0.8239 Au
0.2127 0.4254 0.7444 Au
```


This record from Alexandria via LeMat-Bulk describes ZnMo2Au after structural relaxation. The functional is GGA-PBE.

Calculated values
The calculation puts the calculated total energy at -25.5 eV/cell. Its space group is No. 65.

Structure (POSCAR):
```
ZnMo2Au
1.0
5.1376 0.0006 -0.0290
-2.4164 4.5338 -0.0290
0.0177 0.0295 2.7254
Mo Au Zn
2 1 1
Direct
0.5000 0.5000 0.0000 Mo
0.0000 0.0000 0.0000 Mo
0.0000 0.5000 0.5000 Au
0.5000 0.0000 0.5000 Zn
```


Record-wise magnetization values, in μB/atom: 0.026, 0.000, 0.000, 1.776, 1.480, 0.000, 0.000, 0.000